An optimized crystal structure of PuCrPb2O8, computed with GGA+U.

a b c (Å): 5.043 6.551 5.054
angles (deg): 90.00 90.18 90.00
Fractional coordinates of all 12 atoms:
Pu  0.000  0.000  0.000
Cr  0.000  0.500  0.000
Pb  0.500  0.259  0.500
Pb  0.500  0.741  0.500
O  0.181  0.253  0.822
O  0.181  0.747  0.822
O  0.289  0.500  0.291
O  0.304  0.000  0.307
O  0.696  0.000  0.693
O  0.711  0.500  0.709
O  0.819  0.253  0.178
O  0.819  0.747  0.178

Summary:
energy = -7.343 eV per atom
symmetry = P2/m (10)
DOS at the Fermi energy = 4.7 states/eV per cell